Record 1
A relaxed structure of LiScGe, computed with PBE.

Results
- total moment (μB per formula unit) = 0.00
- energy of formation from the pure elements (eV/atom) = -0.338

Cell and atoms, written as CIF:
```
data_LiScGe
_chemical_formula_sum 'Li2 Sc2 Ge2'
_cell_length_a 3.1495
_cell_length_b 3.1495
_cell_length_c 11.1188
_cell_angle_alpha 90.00
_cell_angle_beta 90.00
_cell_angle_gamma 90.00
_space_group_name_H-M_alt 'P 4 m m'
_space_group_IT_number 99
_space_group_name_Hall 'P 4 -2'
loop_
_atom_site_label
_atom_site_fract_x
_atom_site_fract_y
_atom_site_fract_z
Li1 0.0000 0.0000 0.0000
Li2 0.5000 0.5000 0.1501
Sc1 0.0000 0.0000 0.3570
Sc2 0.0000 0.0000 0.6913
Ge1 0.5000 0.5000 0.5198
Ge2 0.5000 0.5000 0.8699
```

Record 2
A relaxed structure of Pa2GaGe3Ir4, computed with PBE.

Results
- total moment (μB per formula unit) = 0.00
- energy of formation from the pure elements (eV/atom) = -0.684

Cell and atoms, written as CIF:
```
data_Pa2GaGe3Ir4
_chemical_formula_sum 'Pa2 Ga1 Ge3 Ir4'
_cell_length_a 4.1487
_cell_length_b 4.1487
_cell_length_c 10.4406
_cell_angle_alpha 90.00
_cell_angle_beta 90.00
_cell_angle_gamma 90.00
_space_group_name_H-M_alt 'P -4 m 2'
_space_group_IT_number 115
_space_group_name_Hall 'P -4 -2'
loop_
_atom_site_label
_atom_site_fract_x
_atom_site_fract_y
_atom_site_fract_z
Pa1 0.0000 0.5000 0.2492
Ga1 0.0000 0.0000 0.5000
Ge1 0.0000 0.5000 0.8680
Ge2 0.5000 0.5000 0.5000
Ir1 0.0000 0.0000 0.0000
Ir2 0.0000 0.5000 0.6380
Ir3 0.5000 0.5000 0.0000
```

Record 3
A relaxed structure of AcSm8Dy6, computed with PBE.

Results
- ΔE to the lowest computed polymorph (eV per formula unit) = 0.591
- total moment (μB per formula unit) = 0.00
- energy of formation from the pure elements (eV/atom) = 0.204

Cell and atoms, written as CIF:
```
data_AcSm8Dy6
_chemical_formula_sum 'Ac1 Sm8 Dy6'
_cell_length_a 9.5832
_cell_length_b 9.5832
_cell_length_c 6.5652
_cell_angle_alpha 90.00
_cell_angle_beta 90.00
_cell_angle_gamma 120.00
_space_group_name_H-M_alt 'P -3'
_space_group_IT_number 147
_space_group_name_Hall '-P 3'
loop_
_atom_site_label
_atom_site_fract_x
_atom_site_fract_y
_atom_site_fract_z
Ac1 0.0000 0.0000 0.0000
Sm1 0.0211 0.6874 0.5996
Sm2 0.3333 0.6667 0.3344
Dy1 0.0960 0.4180 0.9030
```

Record 4
A relaxed structure of LaTi3Ir, computed with PBE.

Results
- ΔE to the lowest computed polymorph (eV per formula unit) = 0.000
- total moment (μB per formula unit) = 0.00
- energy of formation from the pure elements (eV/atom) = 0.016

Cell and atoms, written as CIF:
```
data_LaTi3Ir
_chemical_formula_sum 'La1 Ti3 Ir1'
_cell_length_a 4.8692
_cell_length_b 4.8692
_cell_length_c 4.8692
_cell_angle_alpha 90.00
_cell_angle_beta 90.00
_cell_angle_gamma 90.00
_space_group_name_H-M_alt 'P m -3 m'
_space_group_IT_number 221
_space_group_name_Hall '-P 4 2 3'
loop_
_atom_site_label
_atom_site_fract_x
_atom_site_fract_y
_atom_site_fract_z
La1 0.0000 0.0000 0.0000
Ti1 0.0000 0.5000 0.5000
Ir1 0.5000 0.5000 0.5000
```

Record 5
A relaxed structure of GdAgPt2, computed with PBE.

Results
- ΔE to the lowest computed polymorph (eV per formula unit) = 0.468
- total moment (μB per formula unit) = 7.07
- energy of formation from the pure elements (eV/atom) = -0.648

Cell and atoms, written as CIF:
```
data_GdAgPt2
_chemical_formula_sum 'Gd4 Ag4 Pt8'
_cell_length_a 6.7619
_cell_length_b 6.7619
_cell_length_c 6.7619
_cell_angle_alpha 90.00
_cell_angle_beta 90.00
_cell_angle_gamma 90.00
_space_group_name_H-M_alt 'F m -3 m'
_space_group_IT_number 225
_space_group_name_Hall '-F 4 2 3'
loop_
_atom_site_label
_atom_site_fract_x
_atom_site_fract_y
_atom_site_fract_z
Gd1 0.0000 0.0000 0.0000
Ag1 0.0000 0.0000 0.5000
Pt1 0.2500 0.2500 0.2500
```

Record 6
A relaxed structure of InNiAu6, computed with PBE.

Results
- total moment (μB per formula unit) = 0.00
- energy of formation from the pure elements (eV/atom) = 0.057

Cell and atoms, written as CIF:
```
data_InNiAu6
_chemical_formula_sum 'In1 Ni1 Au6'
_cell_length_a 4.6616
_cell_length_b 5.4649
_cell_length_c 6.5111
_cell_angle_alpha 67.79
_cell_angle_beta 84.86
_cell_angle_gamma 83.49
_space_group_name_H-M_alt 'P -1'
_space_group_IT_number 2
_space_group_name_Hall '-P 1'
loop_
_atom_site_label
_atom_site_fract_x
_atom_site_fract_y
_atom_site_fract_z
In1 0.0000 0.0000 0.0000
Ni1 0.5000 0.5000 0.5000
Au1 0.0339 0.2480 0.5037
Au2 0.2715 0.4752 0.8845
Au3 0.4694 0.0260 0.2610
```

Record 7
A relaxed structure of LiPuTl, computed with PBE.

Results
- ΔE to the lowest computed polymorph (eV per formula unit) = 0.000
- total moment (μB per formula unit) = 5.81
- energy of formation from the pure elements (eV/atom) = -0.092

Cell and atoms, written as CIF:
```
data_LiPuTl
_chemical_formula_sum 'Li2 Pu2 Tl2'
_cell_length_a 5.1610
_cell_length_b 5.1610
_cell_length_c 5.9353
_cell_angle_alpha 90.00
_cell_angle_beta 90.00
_cell_angle_gamma 120.00
_space_group_name_H-M_alt 'P 63/m m c'
_space_group_IT_number 194
_space_group_name_Hall '-P 6c 2c'
loop_
_atom_site_label
_atom_site_fract_x
_atom_site_fract_y
_atom_site_fract_z
Li1 0.3333 0.6667 0.2500
Pu1 0.0000 0.0000 0.0000
Tl1 0.3333 0.6667 0.7500
```

Record 8
A relaxed structure of Dy5Ho2Mg2, computed with PBE.

Results
- total moment (μB per formula unit) = 0.00
- energy of formation from the pure elements (eV/atom) = 0.058

Cell and atoms, written as CIF:
```
data_Dy5Ho2Mg2
_chemical_formula_sum 'Dy5 Ho2 Mg2'
_cell_length_a 3.5908
_cell_length_b 8.4446
_cell_length_c 8.9988
_cell_angle_alpha 90.98
_cell_angle_beta 90.08
_cell_angle_gamma 90.12
_space_group_name_H-M_alt 'P -1'
_space_group_IT_number 2
_space_group_name_Hall '-P 1'
loop_
_atom_site_label
_atom_site_fract_x
_atom_site_fract_y
_atom_site_fract_z
Dy1 0.0000 0.0000 0.0000
Dy2 0.0001 0.3774 0.8302
Dy3 0.0042 0.2966 0.4335
Ho1 0.5004 0.0570 0.6741
Mg1 0.4992 0.7048 0.8774
```

Record 9
A relaxed structure of LaAs2Os, computed with PBE.

Results
- ΔE to the lowest computed polymorph (eV per formula unit) = 0.151
- total moment (μB per formula unit) = 0.00
- energy of formation from the pure elements (eV/atom) = -0.625

Cell and atoms, written as CIF:
```
data_LaAs2Os
_chemical_formula_sum 'La3 As6 Os3'
_cell_length_a 4.1343
_cell_length_b 4.1343
_cell_length_c 17.3986
_cell_angle_alpha 90.00
_cell_angle_beta 90.00
_cell_angle_gamma 120.00
_space_group_name_H-M_alt 'R 3 m'
_space_group_IT_number 160
_space_group_name_Hall 'R 3 -2"'
loop_
_atom_site_label
_atom_site_fract_x
_atom_site_fract_y
_atom_site_fract_z
La1 0.0000 0.0000 0.0000
As1 0.0000 0.0000 0.2134
As2 0.0000 0.0000 0.4364
Os1 0.0000 0.0000 0.8141
```

Record 10
A relaxed structure of Cd6AgHg, computed with PBE.

Results
- ΔE to the lowest computed polymorph (eV per formula unit) = 0.218
- total moment (μB per formula unit) = 0.00
- energy of formation from the pure elements (eV/atom) = 0.030

Cell and atoms, written as CIF:
```
data_Cd6AgHg
_chemical_formula_sum 'Cd6 Ag1 Hg1'
_cell_length_a 5.4984
_cell_length_b 5.5659
_cell_length_c 5.9283
_cell_angle_alpha 94.92
_cell_angle_beta 94.19
_cell_angle_gamma 90.32
_space_group_name_H-M_alt 'P -1'
_space_group_IT_number 2
_space_group_name_Hall '-P 1'
loop_
_atom_site_label
_atom_site_fract_x
_atom_site_fract_y
_atom_site_fract_z
Cd1 0.0018 0.2544 0.0282
Cd2 0.2553 0.4851 0.5500
Cd3 0.4778 0.0107 0.2451
Ag1 0.5000 0.5000 0.0000
Hg1 0.0000 0.0000 0.5000
```

Record 11
A relaxed structure of Re2SiBr, computed with PBE.

Results
- ΔE_f (raw) (eV per atom) = 0.4324
- ΔE to the lowest computed polymorph (eV per formula unit) = 0.581
- total moment (μB per formula unit) = 0.00

Cell and atoms, written as CIF:
```
data_Re2SiBr
_chemical_formula_sum 'Re2 Si1 Br1'
_cell_length_a 3.1518
_cell_length_b 3.1954
_cell_length_c 6.9893
_cell_angle_alpha 90.00
_cell_angle_beta 90.00
_cell_angle_gamma 90.00
_space_group_name_H-M_alt 'P m m m'
_space_group_IT_number 47
_space_group_name_Hall '-P 2 2'
loop_
_atom_site_label
_atom_site_fract_x
_atom_site_fract_y
_atom_site_fract_z
Re1 0.0000 0.0000 0.1720
Si1 0.5000 0.5000 0.0000
Br1 0.0000 0.5000 0.5000
```

Record 12
A relaxed structure of SmPuSnPb, computed with PBE.

Results
- total moment (μB per formula unit) = 6.08
- energy of formation from the pure elements (eV/atom) = -0.338

Cell and atoms, written as CIF:
```
data_SmPuSnPb
_chemical_formula_sum 'Sm4 Pu4 Sn4 Pb4'
_cell_length_a 7.6903
_cell_length_b 7.6903
_cell_length_c 7.6903
_cell_angle_alpha 90.00
_cell_angle_beta 90.00
_cell_angle_gamma 90.00
_space_group_name_H-M_alt 'F -4 3 m'
_space_group_IT_number 216
_space_group_name_Hall 'F -4 2 3'
loop_
_atom_site_label
_atom_site_fract_x
_atom_site_fract_y
_atom_site_fract_z
Sm1 0.0000 0.0000 0.0000
Pu1 0.0000 0.0000 0.5000
Sn1 0.2500 0.2500 0.7500
Pb1 0.2500 0.2500 0.2500
```

| no. | total energy (eV per atom) | density of states at the Fermi level (states/eV/cell) |
| --- | --- | --- |
| 1 | -4.626 | 3.215 |
| 2 | -7.815 | 8.744 |
| 3 | -4.428 | 20.081 |
| 4 | -7.478 | 5.270 |
| 5 | -7.902 | 8.869 |
| 6 | -3.466 | 4.441 |
| 7 | -6.296 | 14.930 |
| 8 | -3.870 | 12.472 |
| 9 | -6.989 | 4.243 |
| 10 | -1.050 | 1.976 |
| 11 | -7.566 | 2.387 |
| 12 | -7.029 | 46.771 |